This record from Alexandria describes a relaxed Sc3ReRh crystal. The functional is PBE.

The structure belongs to space group Pm-3m (No. 221); the cell edges are 4.8408, 4.8408 and 4.8408 Å and the angles 90.00°, 90.00° and 90.00°. Symmetry generates all atoms from Sc at (0.0000, 0.0000, 0.5000), Re at (0.5000, 0.5000, 0.5000) and Rh at (0.0000, 0.0000, 0.0000).

The calculation puts the total energy at -7.29 eV/atom. The calculation puts the energy of formation from the pure elements at 0.470 eV per atom. The offset from the most stable computed form is 0.077 kcal/mol of atoms.

=====

This record from Alexandria describes a relaxed Ba2SrIr crystal. The functional is PBE.

The structure belongs to space group Imm2 (No. 44); the cell edges are 3.9751, 5.8885 and 14.3241 Å and the angles 90.00°, 90.00° and 90.00°. Symmetry generates all atoms from Ba at (0.0000, 0.0000, 0.0000), Ba at (0.0000, 0.5000, 0.1631), Sr at (0.0000, 0.0000, 0.3232) and Ir at (0.0000, 0.5000, 0.6646).

The calculation puts the total energy at -3.59 eV/atom. The calculation puts the energy of formation from the pure elements at 0.010 eV per atom. The offset from the most stable computed form is 4.169 kcal/mol of atoms.

=====

This record from Alexandria describes a relaxed KTcNi crystal. The functional is PBE.

The structure belongs to space group P-1 (No. 2); the cell edges are 4.1704, 4.1711 and 11.3979 Å and the angles 81.56°, 81.46° and 60.03°. Symmetry generates all atoms from K at (0.2491, 0.2448, 0.1973), Tc at (0.1658, 0.1658, 0.5032) and Ni at (0.4707, 0.4719, 0.6078).

The calculation puts the total energy at -5.32 eV/atom. The calculation puts the energy of formation from the pure elements at 0.425 eV per atom. The offset from the most stable computed form is 0.000 kcal/mol of atoms.

=====

This record from Alexandria describes a relaxed Ga2TeCl crystal. The functional is PBE.

The structure belongs to space group I-42d (No. 122); the cell edges are 7.5138, 7.5138 and 8.3728 Å and the angles 90.00°, 90.00° and 90.00°. Symmetry generates all atoms from Ga at (0.2446, 0.2500, 0.1250), Te at (0.0000, 0.0000, 0.5000) and Cl at (0.0000, 0.0000, 0.0000).

The calculation puts the total energy at -3.00 eV/atom. The offset from the most stable computed form is 0.897 kcal/mol of atoms. The uncorrected formation energy comes out at -0.240 eV per atom.

=====

This record from Alexandria describes a relaxed NdGa3Cu crystal. The functional is PBE.

The structure belongs to space group P4/mbm (No. 127); the cell edges are 6.6694, 6.6694 and 4.6876 Å and the angles 90.00°, 90.00° and 90.00°. Symmetry generates all atoms from Nd at (0.0000, 0.5000, 0.0000), Ga at (0.0000, 0.0000, 0.0000), Ga at (0.2490, 0.2510, 0.5000) and Cu at (0.0000, 0.0000, 0.5000).

The calculation puts the total energy at -3.78 eV/atom. The calculation puts the energy of formation from the pure elements at -0.190 eV per atom. The offset from the most stable computed form is 7.836 kcal/mol of atoms.

=====

This record from Alexandria describes a relaxed Cu4IBr5 crystal. The functional is PBE.

The structure belongs to space group Pmmn (No. 59, origin choice 2); the cell edges are 7.4920, 11.2745 and 6.3169 Å and the angles 90.00°, 90.00° and 90.00°. Symmetry generates all atoms from Cu at (0.0118, 0.2500, 0.0409), Cu at (0.2500, 0.5210, 0.4727), I at (0.2500, 0.7500, 0.2193), Br at (0.0008, 0.5795, 0.7185) and Br at (0.2500, 0.2500, 0.7958).

The calculation puts the total energy at -2.88 eV/atom. The uncorrected formation energy comes out at -0.249 eV per atom.

=====

This record from Alexandria describes a relaxed Dy2NpS4 crystal. The functional is PBE.

The structure belongs to space group Imma (No. 74); the cell edges are 8.0479, 8.1052 and 11.4443 Å and the angles 90.00°, 90.00° and 90.00°. Symmetry generates all atoms from Dy at (0.0000, 0.2500, 0.1245), Dy at (0.2500, 0.2500, 0.7500), Np at (0.0000, 0.0000, 0.5000), S at (0.0000, 0.0165, 0.7452) and S at (0.2377, 0.2500, 0.5091).

The calculation puts the total energy at -7.20 eV/atom. The offset from the most stable computed form is 3.716 kcal/mol of atoms. The uncorrected formation energy comes out at -1.682 eV per atom.

=====

This record from Alexandria describes a relaxed InTc2As crystal. The functional is PBE.

The structure belongs to space group Pm (No. 6); the cell edges are 3.0153, 4.5388 and 5.1802 Å and the angles 90.00°, 106.49° and 90.00°. Symmetry generates all atoms from In at (0.0000, 0.0000, 0.0000), Tc at (0.2661, 0.0000, 0.5218), Tc at (0.6635, 0.5000, 0.3117) and As at (0.3677, 0.5000, 0.7273).

The calculation puts the total energy at -6.80 eV/atom. The calculation puts the energy of formation from the pure elements at 0.231 eV per atom. The offset from the most stable computed form is 4.556 kcal/mol of atoms.